! YCuPb2 | the Alexandria database | PBE | optimized geometry; values from VASP
! Formation energy: -0.06 eV per atom
! Calculated volume: 25.3 Å³/atom
! Space group: Cmmm
! ΔE to the lowest computed polymorph: 42 kJ/mol of formula units
&SYSTEM
  ibrav = 0, nat = 4, ntyp = 3
/
ATOMIC_SPECIES
Cu 63.55 Cu.upf
Pb 207.20 Pb.upf
Y 88.91 Y.upf
ATOMIC_POSITIONS crystal
Cu 0.500 0.500 0.750
Pb 0.000 0.000 0.964
Pb 0.000 0.000 0.536
Y 0.500 0.500 0.250
CELL_PARAMETERS angstrom
-3.356 -1.625 -0.521
0.638 -0.212 3.704
-3.312 6.537 0.944